(1)
The following is a GGA-PBE calculation of an optimized crystal structure of K2ScH, from the Alexandria database.

Cell and atoms, written as CIF:
```
data_K2ScH
_symmetry_space_group_name_H-M 'F m -3 m'
_symmetry_Int_Tables_number 225
_symmetry_space_group_name_Hall '-F 4 2 3'
_cell_length_a 8.6528
_cell_length_b 8.6528
_cell_length_c 8.6528
_cell_angle_alpha 90.00
_cell_angle_beta 90.00
_cell_angle_gamma 90.00
loop_
_atom_site_label
_atom_site_type_symbol
_atom_site_fract_x
_atom_site_fract_y
_atom_site_fract_z
K1 K 0.2500 0.2500 0.2500
Sc1 Sc 0.0000 0.0000 0.0000
H1 H 0.0000 0.0000 0.5000
```

(2)
# LaTa2HgBi (GGA-PBE, relaxed)
data_LaTa2HgBi
_symmetry_space_group_name_H-M 'P 4/m m m'
_symmetry_Int_Tables_number 123
_symmetry_space_group_name_Hall '-P 4 2'
_cell_length_a 5.1186
_cell_length_b 5.1186
_cell_length_c 5.9879
_cell_angle_alpha 90.00
_cell_angle_beta 90.00
_cell_angle_gamma 90.00
loop_
_atom_site_label
_atom_site_type_symbol
_atom_site_fract_x
_atom_site_fract_y
_atom_site_fract_z
La1 La 0.0000 0.0000 0.0000
Ta1 Ta 0.0000 0.5000 0.0000
Hg1 Hg 0.5000 0.5000 0.5000
Bi1 Bi 0.0000 0.0000 0.5000
# formation energy	2.002	eV per atom

| no. | raw total energy (eV per atom) |
| --- | --- |
| 1 | -2.008 |
| 2 | -4.561 |